VASP calculation (PBE) on Na2LiHf2O6 after structural relaxation.

Properties
E_tot: -7.502 eV/atom
crystal system: monoclinic
size of the total moment: 1.10 Bohr magnetons per cell

POSCAR file:
```
Na2LiHf2O6
1.0
5.6228 -0.1593 0.1333
-2.9176 4.8092 0.1333
-0.8775 -1.5084 5.4595
Na Li Hf O
2 1 2 6
direct
0.8472 0.1528 0.0000
0.1528 0.8472 0.0000
0.0000 0.0000 0.5000
0.3392 0.6608 0.5000
0.6608 0.3392 0.5000
0.7215 0.7215 0.6816
0.0473 0.4298 0.7064
0.2785 0.2785 0.3184
0.4298 0.0473 0.7064
0.9527 0.5702 0.2936
0.5702 0.9527 0.2936
```